(1)
Below is crystalline AlTcPb2 at its relaxed geometry, with properties calculated at the PBE level.

Lattice parameters (Å, degrees): 5.002 5.002 5.002 60.00 60.00 60.00
Fractional positions:
Pb 0.000 0.000 0.000
Pb 0.250 0.250 0.250
Tc 0.750 0.750 0.750
Al 0.500 0.500 0.500

Output
**SG**: F-43m (216)
**Formation energy from the elements**: 737 meV/atom
**Density of states at the Fermi level**: 3.38 states/eV per cell
**Total magnetization**: 0.304 μB per atom

---

(2)
Below is crystalline Li3InHg4 at its relaxed geometry, with properties calculated at the PBE level.

Lattice parameters (Å, degrees): 4.941 6.712 9.885 89.95 90.00 90.00
Fractional positions:
In 0.000 0.500 0.000
In 0.000 0.500 0.500
Hg 0.500 0.770 0.000
Hg 0.500 0.770 0.500
Hg 0.500 0.230 0.000
Hg 0.500 0.230 0.500
Hg 0.005 0.770 0.750
Hg 0.995 0.770 0.250
Hg 0.995 0.230 0.250
Hg 0.005 0.230 0.750
Li 0.000 0.000 0.000
Li 0.000 0.000 0.500
Li 0.506 0.000 0.750
Li 0.494 0.000 0.250
Li 0.506 0.500 0.750
Li 0.494 0.500 0.250

Output
**SG**: P2/c (13)
**Formation energy from the elements**: -285 meV/atom
**Polymorph energy (0 for the lowest one)**: 0.000 eV per formula unit
**Density of states at the Fermi level**: 3.77 states/eV per cell
**Total magnetization**: 0.000 μB per atom